1.
A plane-wave DFT calculation with PBE-GGA was carried out for a relaxed MgTcSe3 crystal.

Structure (POSCAR):
```
MgTcSe3
1.0
4.9246 0.0000 0.0000
0.0000 4.9246 0.0000
0.0000 0.0000 4.9246
Se Tc Mg
3 1 1
direct
0.0000 0.5000 0.0000
0.5000 0.0000 0.0000
0.0000 0.0000 0.5000
0.0000 0.0000 0.0000
0.5000 0.5000 0.5000
```

Output
**Density**: 4.99 g/cm3
**Magnetic moment**: 0.000 μB per atom
**Polymorph energy (0 for the lowest one)**: 0 meV per atom
**Formation energy without anion corrections**: 137 meV/atom
**SG**: Pm-3m
**E_tot**: -21.73 eV/f.u.

2.
A plane-wave DFT calculation with PBE-GGA was carried out for a relaxed MgTcSe2 crystal.

Structure (POSCAR):
```
MgTcSe2
1.0
-0.9377 -2.3612 -1.9563
-1.1144 -1.6495 2.5250
-7.1287 1.3535 1.7833
Mg Se Tc
1 2 1
direct
0.5000 0.7500 0.7500
0.0000 0.9720 0.0245
0.0000 0.5280 0.4755
0.5000 0.2500 0.2500
```

Output
**Density**: 6.67 g/cm3
**Magnetic moment**: 0.000 μB per atom
**Formation energy without anion corrections**: -119 meV/atom
**SG**: P2/m
**E_tot**: -19.41 eV/f.u.

3.
A plane-wave DFT calculation with PBE-GGA was carried out for a relaxed MgTcSe2 crystal.

Structure (POSCAR):
```
MgTcSe2
1.0
-0.5574 -4.6901 2.0956
2.4708 -2.7589 -3.6031
0.8769 3.6241 3.5771
Mg Se Tc
1 2 1
direct
0.2500 0.7500 0.5000
0.5228 0.5228 0.0000
0.9772 0.9772 0.0000
0.7500 0.2500 0.5000
```

Output
**Density**: 5.94 g/cm3
**Magnetic moment**: 0.002 μB per atom
**Formation energy without anion corrections**: -11 meV/atom
**SG**: Immm
**E_tot**: -18.98 eV/f.u.

- What is the density in the first record?
  4.99 g/cm3

- The highest formation energy without anion corrections belongs to which entry?
  MgTcSe3

- Number 1 is which compound?
  MgTcSe3